Material: KIN2F
Method: DFT, PBE-GGA
State: optimized geometry

Calculated values
Total energy in eV per atom: -2.576
Volume in A^3/atom: 39.83
Formation energy from raw total energies in meV/atom: 1658.4
Symmetry: P4/mmm (123)

The structure in POSCAR format:
```
KIN2F
1.0
5.4990 0.0000 0.0000
0.0000 5.4990 0.0000
0.0000 0.0000 6.5861
K I N F
1 1 2 1
direct
0.0000 0.0000 0.0000
0.0000 0.0000 0.5000
0.0000 0.5000 0.0000
0.5000 0.0000 0.0000
0.5000 0.5000 0.5000
```

***

Material: TbTlNi
Method: DFT, PBE-GGA
State: optimized geometry

Calculated values
Total energy in eV per atom: -4.419
Volume in A^3/atom: 21.40
Formation energy in eV per atom: -0.1596
Symmetry: I4mm (107)

The structure in POSCAR format:
```
TbTlNi
1.0
-1.6905 1.6905 5.6152
1.6905 -1.6905 5.6152
1.6905 1.6905 -5.6152
Tb Tl Ni
1 1 1
direct
0.0000 0.0000 0.0000
0.7126 0.7126 0.0000
0.3559 0.3559 0.0000
```